Entry 1:
Nb2Fe2Bi: optimized geometry, PBE-GGA.

Calculated values
Theoretical density   10.13 Mg/m³
Electronic total energy   -7.981 eV/atom

Unit cell a=7.3724 b=7.3724 c=3.0557 alpha=90.00 beta=90.00 gamma=90.00
Last column: nearest neighbours and their distance in Å.
Positions (direct):
Fe 0.1284 0.3716 0.0000  6 Nb 2.58-2.75, 1 Fe 2.68
Nb 0.8473 0.3473 0.5000  6 Fe 2.58-2.75
Bi 0.0000 0.0000 0.0000  4 Fe 2.90, 2 Bi 3.06, 8 Nb 3.19
Bi 0.5000 0.5000 0.0000  4 Fe 2.90, 2 Bi 3.06, 8 Nb 3.19
Nb 0.6527 0.8473 0.5000  6 Fe 2.58-2.75
Fe 0.8716 0.6284 0.0000  6 Nb 2.58-2.75, 1 Fe 2.68
Nb 0.1527 0.6527 0.5000  6 Fe 2.58-2.75
Nb 0.3473 0.1527 0.5000  6 Fe 2.58-2.75
Fe 0.6284 0.1284 0.0000  6 Nb 2.58-2.75, 1 Fe 2.68
Fe 0.3716 0.8716 0.0000  6 Nb 2.58-2.75, 1 Fe 2.68

---

Entry 2:
CeSmTe3: optimized geometry, PBE-GGA.

Calculated values
Theoretical density   6.90 Mg/m³
Formation energy (no corrections)   -1404 meV per atom
Electronic total energy   -5.420 eV/atom

Unit cell a=4.4497 b=8.3688 c=17.4147 alpha=90.00 beta=90.00 gamma=90.00
Last column: nearest neighbours and their distance in Å.
Positions (direct):
Sm 0.2500 0.2684 0.9573  7 Te 3.15-3.28
Te 0.7500 0.8461 0.2186  4 Ce 3.16-3.28, 1 Sm 3.21, 1 Te 3.50
Te 0.7500 0.4977 0.8913  3 Sm 3.15-3.28, 2 Ce 3.45-3.51
Te 0.2500 0.6539 0.7186  4 Ce 3.16-3.28, 1 Sm 3.21, 1 Te 3.50
Ce 0.2500 0.6322 0.2969  8 Te 3.16-3.51
Te 0.7500 0.6197 0.4336  3 Sm 3.18-3.27, 2 Ce 3.26, 1 Te 3.50
Ce 0.7500 0.8678 0.7969  8 Te 3.16-3.51
Sm 0.2500 0.7684 0.5427  7 Te 3.15-3.28
Sm 0.7500 0.2316 0.4573  7 Te 3.15-3.28
Ce 0.7500 0.3678 0.7031  8 Te 3.16-3.51
Te 0.2500 0.0023 0.3913  3 Sm 3.15-3.28, 2 Ce 3.45-3.51
Ce 0.2500 0.1322 0.2031  8 Te 3.16-3.51
Te 0.7500 0.3461 0.2814  4 Ce 3.16-3.28, 1 Sm 3.21, 1 Te 3.50
Sm 0.7500 0.7316 0.0427  7 Te 3.15-3.28
Te 0.2500 0.5023 0.1087  3 Sm 3.15-3.28, 2 Ce 3.45-3.51
Te 0.7500 0.9977 0.6087  3 Sm 3.15-3.28, 2 Ce 3.45-3.51
Te 0.2500 0.8803 0.9336  3 Sm 3.18-3.27, 2 Ce 3.26, 1 Te 3.50
Te 0.2500 0.1539 0.7814  4 Ce 3.16-3.28, 1 Sm 3.21, 1 Te 3.50
Te 0.7500 0.1197 0.0664  3 Sm 3.18-3.27, 2 Ce 3.26, 1 Te 3.50
Te 0.2500 0.3803 0.5664  3 Sm 3.18-3.27, 2 Ce 3.26, 1 Te 3.50

---

Entry 3:
K2YOs: optimized geometry, PBE-GGA.

Calculated values
Theoretical density   3.82 Mg/m³
Electronic total energy   -4.177 eV/atom

Unit cell a=8.1866 b=8.1866 c=8.1866 alpha=156.43 beta=134.72 gamma=51.67
Last column: nearest neighbours and their distance in Å.
Positions (direct):
K 0.9975 0.9975 0.0000  2 K 3.34, 4 Os 3.58
Os 0.4802 0.4802 0.0000  2 Y 2.59
K 0.6766 0.1766 0.5000  2 Os 3.34, 2 K 3.34
Y 0.3457 0.8457 0.5000  2 Os 2.59

---

Entry 4:
KNa4Hg: optimized geometry, PBE-GGA.

Calculated values
Theoretical density   2.39 Mg/m³
Electronic total energy   -1.206 eV/atom

Unit cell a=4.9565 b=9.1250 c=10.2037 alpha=90.00 beta=90.00 gamma=90.00
Last column: nearest neighbours and their distance in Å.
Positions (direct):
K 0.0000 0.3990 0.2500  1 Hg 3.61
Na 0.5000 0.3004 0.5667  2 Hg 3.22, 1 Na 3.59
Na 0.5000 0.6996 0.4333  2 Hg 3.22, 1 Na 3.59
Na 0.5000 0.6996 0.0667  2 Hg 3.22, 1 Na 3.59
K 0.0000 0.6010 0.7500  1 Hg 3.61
Na 0.5000 0.0352 0.2500  2 Hg 3.31, 6 Na 3.57-3.59
Na 0.5000 0.3004 0.9333  2 Hg 3.22, 1 Na 3.59
Hg 0.0000 0.7945 0.2500  8 Na 3.17-3.31
Na 0.0000 0.0000 0.5000  2 Hg 3.17
Na 0.5000 0.9648 0.7500  2 Hg 3.31, 6 Na 3.57-3.59
Na 0.0000 0.0000 0.0000  2 Hg 3.17
Hg 0.0000 0.2055 0.7500  8 Na 3.17-3.31